No. 1
{"formula": "LiSnF2", "functional": "GGA-PBE", "state": "optimized geometry", "lattice": [[0.0000, 3.1352, 3.1352], [3.1352, 0.0000, 3.1352], [3.1352, 3.1352, 0.0000]], "species": ["Li", "Sn", "F", "F"], "frac_coords": [[0.0000, 0.0000, 0.0000], [0.5000, 0.5000, 0.5000], [0.2500, 0.2500, 0.2500], [0.7500, 0.7500, 0.7500]], "magmom_total_mub_per_fu": 0.00, "n_ef_per_ev_atom": 1.13, "de_polymorph_mev_per_atom": 730, "raw_formation_energy_ev_per_atom": -1.51}

***

No. 2
{"formula": "ScAlZn2", "functional": "GGA-PBE", "state": "optimized geometry", "lattice": [[1.4942, 0.8627, 9.2630], [-1.4942, 0.8627, 9.2630], [0.0000, -1.7253, 9.2630]], "species": ["Sc", "Al", "Zn", "Zn"], "frac_coords": [[0.0000, 0.0000, 0.0000], [0.5000, 0.5000, 0.5000], [0.2468, 0.2468, 0.2468], [0.7532, 0.7532, 0.7532]], "formation_enthalpy_0k_mev_per_atom": -11, "magmom_total_mub_per_fu": 0.00, "n_ef_per_ev_atom": 0.69}

***

No. 3
{"formula": "AcLa5Se6", "functional": "GGA-PBE", "state": "optimized geometry", "lattice": [[3.7576, -6.5184, 0.0000], [3.7576, 6.5184, 0.0000], [-2.5225, 0.0000, 7.0786]], "species": ["Ac", "La", "La", "La", "La", "La", "Se", "Se", "Se", "Se", "Se", "Se"], "frac_coords": [[0.0000, 0.0000, 0.0000], [0.1650, 0.8350, 0.5000], [0.3331, 0.6669, 0.0000], [0.5000, 0.5000, 0.5000], [0.6669, 0.3331, 0.0000], [0.8350, 0.1650, 0.5000], [0.0848, 0.4231, 0.2539], [0.2545, 0.2545, 0.7480], [0.4231, 0.0848, 0.2539], [0.5769, 0.9152, 0.7461], [0.7455, 0.7455, 0.2520], [0.9152, 0.5769, 0.7461]], "magmom_total_mub_per_fu": 0.00, "n_ef_per_ev_atom": 0.57, "raw_formation_energy_ev_per_atom": -1.98}

***

No. 4
{"formula": "LaTlW2", "functional": "GGA-PBE", "state": "optimized geometry", "lattice": [[3.0828, -5.0615, 0.0000], [3.0828, 5.0615, 0.0000], [-1.1979, 0.0000, 2.6895]], "species": ["La", "Tl", "W", "W"], "frac_coords": [[0.0000, 0.0000, 0.0000], [0.5000, 0.5000, 0.0000], [0.0000, 0.5000, 0.5000], [0.5000, 0.0000, 0.5000]], "formation_enthalpy_0k_mev_per_atom": 969, "magmom_total_mub_per_fu": 0.00, "n_ef_per_ev_atom": 1.13, "de_polymorph_mev_per_atom": 633}

***

Repeat the third record exactly.
{"formula": "AcLa5Se6", "functional": "GGA-PBE", "state": "optimized geometry", "lattice": [[3.7576, -6.5184, 0.0000], [3.7576, 6.5184, 0.0000], [-2.5225, 0.0000, 7.0786]], "species": ["Ac", "La", "La", "La", "La", "La", "Se", "Se", "Se", "Se", "Se", "Se"], "frac_coords": [[0.0000, 0.0000, 0.0000], [0.1650, 0.8350, 0.5000], [0.3331, 0.6669, 0.0000], [0.5000, 0.5000, 0.5000], [0.6669, 0.3331, 0.0000], [0.8350, 0.1650, 0.5000], [0.0848, 0.4231, 0.2539], [0.2545, 0.2545, 0.7480], [0.4231, 0.0848, 0.2539], [0.5769, 0.9152, 0.7461], [0.7455, 0.7455, 0.2520], [0.9152, 0.5769, 0.7461]], "magmom_total_mub_per_fu": 0.00, "n_ef_per_ev_atom": 0.57, "raw_formation_energy_ev_per_atom": -1.98}